(1)
ZnInRe2 PBE relaxed; space-group type = Pmmm; volume = 16.80 Å³/atom
1.0
2.828 0.000 0.000
0.000 4.140 0.000
0.000 0.000 5.738
In Re Zn
1 2 1
Cartesian
1.414 2.070 4.304
0.000 0.000 0.248
0.000 0.000 2.621
1.414 2.070 1.435

=====

(2)
ZnInRe2 PBE relaxed; space-group type = Pmmm; volume = 16.18 Å³/atom
1.0
3.139 0.000 0.000
0.000 4.497 0.000
0.000 0.000 4.585
In Re Zn
1 2 1
Cartesian
0.000 2.248 2.293
0.000 0.000 0.000
1.569 2.248 0.000
1.569 0.000 2.293

=====

(3)
ZnInRe2 PBE relaxed; space-group type = P4/mmm; volume = 16.23 Å³/atom
1.0
-1.210 1.453 2.004
-1.580 -2.171 0.620
5.914 -2.723 5.545
In Re Zn
1 2 1
Cartesian
3.040 -2.401 5.470
0.091 -0.042 0.086
2.866 -1.320 2.687
0.083 -1.040 2.698

=====

Most favorable structure: (2). The second most favorable one is 5.6 kJ/mol of atoms above it.

=====

(1)
ZnInRe2 PBE relaxed; space-group type = R-3m; volume = 16.16 Å³/atom
1.0
-4.675 6.423 -4.761
-6.791 5.501 -3.067
-4.982 7.512 -2.131
In Re Zn
1 2 1
Cartesian
-12.336 14.577 -7.470
-16.381 19.358 -9.919
-8.290 9.797 -5.020
-4.112 4.859 -2.490

=====

(2)
ZnInRe2 PBE relaxed; space-group type = I-42d; volume = 18.24 Å³/atom
1.0
-1.398 -2.885 -2.203
2.919 0.510 -2.520
6.110 -7.534 2.553
Re Zn In
4 2 2
Cartesian
1.106 -3.443 -0.917
3.090 -2.105 -1.349
5.335 -6.509 -0.013
5.732 -7.760 -2.061
0.761 -1.188 -2.361
4.895 -4.106 -1.164
0.000 0.000 0.000
2.736 -5.803 -1.006

=====

(3)
ZnInRe2 PBE relaxed; space-group type = P2/m; volume = 16.43 Å³/atom
1.0
-2.786 3.438 -1.177
-2.034 -1.822 -0.509
-1.997 0.024 4.797
In Re Zn
1 2 1
Cartesian
-4.417 0.370 2.628
-2.017 -1.766 -0.385
-2.033 -0.955 2.020
-2.401 1.270 0.484

=====

Most favorable structure: (3). The second most favorable one is 1.9 kJ/mol of atoms above it.

=====

(1)
ZnInRe2 PBE relaxed; space-group type = Imm2; volume = 16.03 Å³/atom
1.0
-2.167 3.990 -0.993
-4.400 -1.496 0.063
3.129 -0.561 3.390
In Re Zn
1 2 1
Cartesian
-2.273 -0.407 1.494
-6.540 2.484 -0.927
-1.182 2.346 0.963
-3.292 1.250 -0.466

=====

(2)
ZnInRe2 PBE relaxed; space-group type = Cmmm; volume = 16.23 Å³/atom
1.0
2.772 -0.021 0.000
-1.014 2.580 0.000
0.000 0.000 9.108
In Re Zn
1 2 1
Cartesian
0.879 1.279 6.831
0.000 0.000 0.112
0.000 0.000 4.442
0.879 1.279 2.277

=====

Most favorable structure: (1). The second most favorable one is 12.6 kJ/mol of atoms above it.

=====

(1)
ZnInRe2 PBE relaxed; space-group type = Fm-3m; volume = 15.93 Å³/atom
1.0
0.000 3.170 3.170
3.170 0.000 3.170
3.170 3.170 0.000
Re Zn In
2 1 1
Cartesian
1.585 1.585 1.585
4.756 4.756 4.756
0.000 0.000 0.000
3.170 3.170 3.170

=====

(2)
ZnInRe2 PBE relaxed; space-group type = P4/mmm; volume = 16.28 Å³/atom
1.0
4.363 0.000 0.000
0.000 3.864 0.000
0.000 0.000 3.864
In Re Zn
1 2 1
Cartesian
2.181 0.000 1.932
0.000 0.000 0.000
0.000 1.932 1.932
2.181 1.932 0.000

=====

(3)
ZnInRe2 PBE relaxed; space-group type = P4mm; volume = 16.56 Å³/atom
1.0
3.065 0.000 0.000
0.000 3.065 0.000
0.000 0.000 7.053
In Re Zn
1 2 1
Cartesian
1.532 1.532 5.317
0.000 0.000 0.233
1.532 1.532 1.724
0.000 0.000 3.306

=====

(4)
ZnInRe2 PBE relaxed; space-group type = C2/m; volume = 16.22 Å³/atom
1.0
4.885 0.014 -0.010
4.024 2.770 -0.010
0.888 0.277 4.813
In Re Zn
1 2 1
Cartesian
2.449 0.765 1.198
0.894 0.279 4.713
4.892 1.528 2.496
7.348 2.296 3.594

=====

Most favorable structure: (3). The second most favorable one is 25.2 kJ/mol of atoms above it.

=====

(1)
ZnInRe2 PBE relaxed; space-group type = Cmm2; volume = 17.01 Å³/atom
1.0
2.828 0.006 0.000
-1.304 2.509 0.000
0.000 0.000 9.579
In Re Zn
1 2 1
Cartesian
0.762 1.258 7.222
0.000 0.000 0.218
0.762 1.258 2.335
0.000 0.000 4.594

=====

(2)
ZnInRe2 PBE relaxed; space-group type = R3m; volume = 16.82 Å³/atom
1.0
-1.176 -7.056 -6.283
1.501 -6.278 -6.999
1.069 -8.130 -4.838
In Re Zn
1 2 1
Cartesian
1.042 -16.049 -13.548
1.383 -21.297 -17.978
0.353 -5.430 -4.584
0.707 -10.887 -9.191

=====

(3)
ZnInRe2 PBE relaxed; space-group type = Cmmm; volume = 16.36 Å³/atom
1.0
5.102 0.007 0.000
-2.299 4.555 0.000
0.000 0.000 2.814
In Re Zn
1 2 1
Cartesian
-1.149 2.278 1.407
0.000 0.000 0.000
1.402 2.281 0.000
2.551 0.004 1.407

=====

Most favorable structure: (2). The second most favorable one is 16.8 kJ/mol of atoms above it.

=====

(1)
ZnInRe2 PBE relaxed; space-group type = I4/mmm; volume = 16.28 Å³/atom
1.0
5.158 0.006 0.000
2.269 4.632 0.000
-3.713 -2.319 2.727
In Re Zn
1 2 1
Cartesian
2.579 0.003 1.363
0.000 0.000 0.000
3.713 2.319 0.000
1.134 2.316 1.363

=====

(2)
ZnInRe2 PBE relaxed; space-group type = P4/mmm; volume = 15.97 Å³/atom
1.0
-3.552 1.837 -1.767
-2.528 -2.922 2.044
-0.246 2.052 2.628
In Re Zn
1 2 1
Cartesian
-1.387 -0.435 2.336
0.000 0.000 0.000
-3.040 -0.542 0.139
-1.899 1.944 0.431

=====

Most favorable structure: (1). The second most favorable one is 16.5 kJ/mol of atoms above it.

=====

(1)
ZnIn3Re PBE relaxed; space-group type = Pm-3m; volume = 26.17 Å³/atom
1.0
5.077 0.000 0.000
0.000 5.077 0.000
0.000 0.000 5.077
Re Zn In
1 1 3
Cartesian
2.538 2.538 2.538
0.000 0.000 0.000
0.000 2.538 0.000
0.000 0.000 2.538
2.538 0.000 0.000

=====

(2)
ZnIn3Re PBE relaxed; space-group type = Pm-3m; volume = 29.12 Å³/atom
1.0
5.261 0.000 0.000
0.000 5.261 0.000
0.000 0.000 5.261
Re Zn In
1 1 3
Cartesian
0.000 0.000 0.000
2.630 2.630 2.630
0.000 2.630 0.000
0.000 0.000 2.630
2.630 0.000 0.000

=====

Most favorable structure: (2). The second most favorable one is 68.3 kJ/mol of atoms above it.

=====

(1)
ZnInRe PBE relaxed; space-group type = P3m1; volume = 16.68 Å³/atom
1.0
-1.122 -1.058 4.281
-0.661 -3.021 -3.339
2.561 -1.023 0.419
In Re Zn
1 1 1
Cartesian
2.340 -0.935 0.382
-0.006 -2.097 1.899
1.004 -3.093 -0.501

=====

(2)
ZnInRe PBE relaxed; space-group type = Imm2; volume = 17.25 Å³/atom
1.0
-1.656 -4.538 -1.884
2.000 -4.559 1.450
-2.399 4.414 1.285
In Re Zn
1 1 1
Cartesian
0.342 -9.061 -0.432
0.108 -2.849 -0.136
0.237 -6.285 -0.300

=====

(3)
ZnInRe PBE relaxed; space-group type = I4mm; volume = 17.53 Å³/atom
1.0
6.852 0.017 0.000
5.672 3.845 0.000
-6.262 -1.931 2.003
In Re Zn
1 1 1
Cartesian
12.447 3.839 0.000
4.058 1.251 0.000
8.544 2.635 0.000

=====

Most favorable structure: (2). The second most favorable one is 1.2 kJ/mol of atoms above it.

=====

(1)
ZnInRe PBE relaxed; space-group type = F-43m; volume = 20.88 Å³/atom
1.0
4.458 0.000 0.000
2.229 3.861 0.000
2.229 1.287 3.640
In Re Zn
1 1 1
Cartesian
4.458 2.574 1.820
6.687 3.861 2.730
0.000 0.000 0.000

=====

(2)
ZnInRe PBE relaxed; space-group type = Fmm2; volume = 17.44 Å³/atom
1.0
7.214 0.001 -0.001
6.477 2.744 0.044
0.737 -0.777 2.631
In Re Zn
1 1 1
Cartesian
13.659 2.737 0.050
4.952 0.369 1.789
9.508 1.608 0.879

=====

Most favorable structure: (2). The second most favorable one is 32.4 kJ/mol of atoms above it.

=====

(1)
ZrIn2Re PBE relaxed; space-group type = I-42d; volume = 21.94 Å³/atom
1.0
-5.902 0.580 -5.076
4.915 -1.472 -5.883
-1.008 -3.267 -5.204
Re Zr In
2 2 4
Cartesian
0.000 0.000 0.000
-3.702 -1.567 -7.879
-0.494 -0.446 -5.480
1.706 -2.592 -8.283
-3.474 -0.624 -5.335
2.229 -1.679 -5.486
-1.249 -2.748 -7.866
-1.498 -3.268 -13.639

=====

(2)
ZrIn2Re PBE relaxed; space-group type = Fm-3m; volume = 19.32 Å³/atom
1.0
0.000 3.381 3.381
3.381 0.000 3.381
3.381 3.381 0.000
Re Zr In
1 1 2
Cartesian
3.381 3.381 3.381
0.000 0.000 0.000
1.690 1.690 1.690
5.071 5.071 5.071

=====

Most favorable structure: (2). The second most favorable one is 31.1 kJ/mol of atoms above it.

=====

(1)
ZrIn2Re PBE relaxed; space-group type = Cmmm; volume = 19.80 Å³/atom
1.0
-2.226 -0.173 4.997
-0.746 -4.472 -3.066
2.477 -1.143 1.064
In Re Zr
2 1 1
Cartesian
0.000 0.000 0.000
-1.486 -2.322 0.966
0.125 -0.658 3.031
0.866 -2.808 -1.001

=====

(2)
ZrIn2Re PBE relaxed; space-group type = Immm; volume = 20.01 Å³/atom
1.0
5.641 0.004 -0.001
2.502 5.056 0.001
-3.553 -3.365 2.807
In Re Zr
2 1 1
Cartesian
8.027 4.988 0.000
4.188 2.602 0.000
3.080 -0.416 1.403
1.511 2.110 1.404

=====

(3)
ZrIn2Re PBE relaxed; space-group type = P4mm; volume = 20.31 Å³/atom
1.0
-0.916 3.244 1.096
-1.730 -1.418 2.752
5.390 0.321 3.554
In Re Zr
2 1 1
Cartesian
0.015 0.001 0.010
0.111 0.999 2.869
2.762 0.165 1.822
2.550 1.144 4.478

=====

Most favorable structure: (3). The second most favorable one is 7.3 kJ/mol of atoms above it.